CaTaSe2, single point on PBEsol structure, DFT meta-GGA SCAN; raw total energy = -120.10 eV/cell; size of the total moment = 0.00 μB/f.u.
1.0
1.9091 1.1022 6.5063
-1.9091 1.1022 6.5063
0.0000 -2.2045 6.5063
Ca Ta Se
1 1 2
Direct
0.0000 0.0000 0.0000
0.5000 0.5000 0.5000
0.2418 0.2418 0.2418
0.7582 0.7582 0.7582

=====

Al2SbPb, single point on PBEsol structure, DFT meta-GGA SCAN; raw total energy = -127.12 eV/cell; size of the total moment = 0.00 μB/f.u.
1.0
0.0000 3.6073 3.6073
3.6073 0.0000 3.6073
3.6073 3.6073 0.0000
Al Sb Pb
2 1 1
Direct
0.0000 0.0000 0.0000
0.2500 0.2500 0.2500
0.7500 0.7500 0.7500
0.5000 0.5000 0.5000

=====

MgZrSc2, single point on PBEsol structure, DFT meta-GGA SCAN; raw total energy = -63.76 eV/cell; energy relative to the elements = 0.10 eV/atom; size of the total moment = 2.11 μB/f.u.
1.0
5.2636 0.0000 0.0000
0.0000 5.2636 0.0000
0.0000 0.0000 3.2586
Mg Zr Sc
1 1 2
Direct
0.0000 0.0000 0.0000
0.5000 0.5000 0.0000
0.0000 0.5000 0.5000
0.5000 0.0000 0.5000

=====

ReNiBr2, single point on PBEsol structure, DFT meta-GGA SCAN; raw total energy = -123.65 eV/cell; size of the total moment = 0.00 μB/f.u.
1.0
3.0297 0.0000 0.0000
0.0000 3.0297 0.0000
0.0000 0.0000 7.6923
Re Ni Br
1 1 2
Direct
0.0000 0.0000 0.0000
0.5000 0.5000 0.8082
0.0000 0.0000 0.6116
0.5000 0.5000 0.2121

=====

BeSbSCl2, single point on PBEsol structure, DFT meta-GGA SCAN; raw total energy = -65.58 eV/cell; size of the total moment = 0.89 μB/f.u.
1.0
5.1728 0.0000 0.0000
0.0000 5.1728 0.0000
0.0000 0.0000 5.1081
Be Sb S Cl
1 1 1 2
Direct
0.0000 0.0000 0.0000
0.5000 0.5000 0.5000
0.5000 0.5000 0.0000
0.0000 0.5000 0.5000
0.5000 0.0000 0.5000

=====

TaMnCu2, single point on PBEsol structure, DFT meta-GGA SCAN; raw total energy = -115.02 eV/cell; energy relative to the elements = 0.05 eV/atom; size of the total moment = 3.46 μB/f.u.
1.0
0.0000 2.9879 2.9879
2.9879 0.0000 2.9879
2.9879 2.9879 0.0000
Ta Mn Cu
1 1 2
Direct
0.0000 0.0000 0.0000
0.5000 0.5000 0.5000
0.2500 0.2500 0.2500
0.7500 0.7500 0.7500

=====

Hg2TeMo, single point on PBEsol structure, DFT meta-GGA SCAN; raw total energy = -207.10 eV/cell; size of the total moment = 0.00 μB/f.u.
1.0
-1.5683 2.3794 6.3326
1.5683 -2.3794 6.3326
1.5683 2.3794 -6.3326
Hg Te Mo
2 1 1
Direct
0.0000 0.0000 0.0000
0.6608 0.1608 0.5000
0.3545 0.3545 0.0000
0.1902 0.6902 0.5000

=====

CdGaCoBi2, single point on PBEsol structure, DFT meta-GGA SCAN; raw total energy = -216.66 eV/cell; energy relative to the elements = 0.91 eV/atom; size of the total moment = 2.20 μB/f.u.
1.0
5.4183 0.0000 0.0000
0.0000 5.4183 0.0000
0.0000 0.0000 4.8404
Cd Ga Co Bi
1 1 1 2
Direct
0.0000 0.0000 0.0000
0.0000 0.0000 0.5000
0.5000 0.5000 0.0000
0.0000 0.5000 0.5000
0.5000 0.0000 0.5000

=====

La3Sc, single point on PBEsol structure, DFT meta-GGA SCAN; raw total energy = -143.30 eV/cell; energy relative to the elements = 0.06 eV/atom; size of the total moment = 0.00 μB/f.u.
1.0
1.7713 1.0227 11.3156
-1.7713 1.0227 11.3156
0.0000 -2.0454 11.3156
La Sc
3 1
Direct
0.0000 0.0000 0.0000
0.2457 0.2457 0.2457
0.7543 0.7543 0.7543
0.5000 0.5000 0.5000

=====

PWICl2, single point on PBEsol structure, DFT meta-GGA SCAN; raw total energy = -131.86 eV/cell; size of the total moment = 0.00 μB/f.u.
1.0
4.6393 0.0000 0.0000
0.0000 4.6393 0.0000
0.0000 0.0000 4.9605
P W I Cl
1 1 1 2
Direct
0.0000 0.0000 0.0000
0.0000 0.0000 0.5000
0.5000 0.5000 0.0000
0.0000 0.5000 0.5000
0.5000 0.0000 0.5000

=====

As4PAu, single point on PBEsol structure, DFT meta-GGA SCAN; raw total energy = -155.47 eV/cell; energy relative to the elements = 0.81 eV/atom; size of the total moment = 0.00 μB/f.u.
1.0
0.0000 3.8365 3.8365
3.8365 0.0000 3.8365
3.8365 3.8365 0.0000
As P Au
4 1 1
Direct
0.1250 0.1250 0.1250
0.1250 0.1250 0.6249
0.1250 0.6249 0.1250
0.6249 0.1250 0.1250
0.7500 0.7500 0.7500
0.5000 0.5000 0.5000

=====

InReAg4, single point on PBEsol structure, DFT meta-GGA SCAN; raw total energy = -225.05 eV/cell; energy relative to the elements = 0.82 eV/atom; size of the total moment = 0.00 μB/f.u.
1.0
0.0000 3.7291 3.7291
3.7291 0.0000 3.7291
3.7291 3.7291 0.0000
In Re Ag
1 1 4
Direct
0.0000 0.0000 0.0000
0.2500 0.2500 0.2500
0.1259 0.6247 0.6247
0.6247 0.1259 0.6247
0.6247 0.6247 0.1259
0.6247 0.6247 0.6247

=====

NaGaGeO4, single point on PBEsol structure, DFT meta-GGA SCAN; raw total energy = -941.58 eV/cell; size of the total moment = 0.00 μB/f.u.
1.0
8.8895 0.0000 0.0000
0.0000 8.2952 0.0000
-8.8390 0.0000 15.6553
Na Ga Ge O
12 12 12 48
Direct
0.0049 0.0443 0.2463
0.0049 0.4557 0.7463
0.2891 0.5267 0.5658
0.2891 0.9733 0.0658
0.3558 0.5351 0.0913
0.3558 0.9649 0.5913
0.6442 0.0351 0.4087
0.6442 0.4649 0.9087
0.7109 0.0267 0.9342
0.7109 0.4733 0.4342
0.9951 0.5443 0.2537
0.9951 0.9557 0.7537
0.0323 0.2185 0.4209
0.0323 0.2815 0.9209
0.3138 0.2193 0.2325
0.3138 0.2807 0.7325
0.3476 0.7240 0.4088
0.3476 0.7760 0.9088
0.6524 0.2240 0.0912
0.6524 0.2760 0.5912
0.6862 0.7193 0.2675
0.6862 0.7807 0.7675
0.9677 0.7185 0.0791
0.9677 0.7815 0.5791
0.0240 0.6698 0.9233
0.0240 0.8302 0.4233
0.3127 0.6709 0.7355
0.3127 0.8291 0.2355
0.3507 0.1658 0.9078
0.3507 0.3342 0.4078
0.6493 0.6658 0.5922
0.6493 0.8342 0.0922
0.6873 0.1709 0.7645
0.6873 0.3291 0.2645
0.9760 0.1698 0.5767
0.9760 0.3302 0.0767
0.0813 0.7283 0.5199
0.0813 0.7717 0.0199
0.1112 0.7275 0.3673
0.1112 0.7725 0.8673
0.1198 0.7180 0.1954
0.1198 0.7820 0.6954
0.1300 0.0176 0.4523
0.1300 0.4824 0.9523
0.2008 0.1443 0.6407
0.2008 0.3557 0.1407
0.2138 0.1418 0.9517
0.2138 0.3582 0.4517
0.2320 0.2361 0.3090
0.2320 0.2639 0.8090
0.2489 0.0175 0.1835
0.2489 0.4825 0.6835
0.4071 0.6403 0.8462
0.4071 0.8597 0.3462
0.4144 0.5247 0.3898
0.4144 0.9753 0.8898
0.4509 0.7397 0.2033
0.4509 0.7603 0.7033
0.4563 0.7299 0.0240
0.4563 0.7701 0.5240
0.5437 0.2299 0.4760
0.5437 0.2701 0.9760
0.5491 0.2397 0.2967
0.5491 0.2603 0.7967
0.5856 0.0247 0.1102
0.5856 0.4753 0.6102
0.5929 0.1403 0.6538
0.5929 0.3597 0.1538
0.7511 0.5175 0.3165
0.7511 0.9825 0.8165
0.7680 0.7361 0.1910
0.7680 0.7639 0.6910
0.7862 0.6418 0.5483
0.7862 0.8582 0.0483
0.7992 0.6443 0.8593
0.7992 0.8557 0.3593
0.8700 0.5176 0.0477
0.8700 0.9824 0.5477
0.8802 0.2180 0.3046
0.8802 0.2820 0.8046
0.8888 0.2275 0.1327
0.8888 0.2725 0.6327
0.9187 0.2283 0.9801
0.9187 0.2717 0.4801

=====

ZnCdIn2, single point on PBEsol structure, DFT meta-GGA SCAN; raw total energy = -110.28 eV/cell; energy relative to the elements = 0.11 eV/atom; size of the total moment = 0.00 μB/f.u.
1.0
2.1871 -2.1911 0.0000
2.1871 2.1911 0.0000
0.0000 0.0000 8.9212
Zn Cd In
1 1 2
Direct
0.0000 0.0000 0.0000
0.5000 0.5000 0.7916
0.0000 0.0000 0.5234
0.5000 0.5000 0.2281

=====

MgBeMo3, single point on PBEsol structure, DFT meta-GGA SCAN; raw total energy = -109.84 eV/cell; energy relative to the elements = 0.83 eV/atom; size of the total moment = 0.00 μB/f.u.
1.0
4.2558 0.0000 0.0000
0.0000 4.2558 0.0000
0.0000 0.0000 4.2558
Mg Be Mo
1 1 3
Direct
0.0000 0.0000 0.0000
0.5000 0.5000 0.5000
0.0000 0.5000 0.5000
0.5000 0.0000 0.5000
0.5000 0.5000 0.0000

=====

NbI3, single point on PBEsol structure, DFT meta-GGA SCAN; raw total energy = -290.48 eV/cell; size of the total moment = 1.21 μB/f.u.
1.0
7.1770 0.0000 0.0000
-3.5885 6.2154 0.0000
0.0000 0.0000 6.1766
Nb I
2 6
Direct
0.0000 0.0000 0.0000
0.0000 0.0000 0.5000
0.0000 0.3286 0.2500
0.0000 0.6714 0.7500
0.3286 0.0000 0.2500
0.3286 0.3286 0.7500
0.6714 0.0000 0.7500
0.6714 0.6714 0.2500

=====

Cd3GeCl, single point on PBEsol structure, DFT meta-GGA SCAN; raw total energy = -118.82 eV/cell; size of the total moment = 0.00 μB/f.u.
1.0
5.1534 0.0000 0.0000
0.0000 5.1534 0.0000
0.0000 0.0000 5.1534
Cd Ge Cl
3 1 1
Direct
0.0000 0.0000 0.5000
0.0000 0.5000 0.0000
0.5000 0.0000 0.0000
0.0000 0.0000 0.0000
0.5000 0.5000 0.5000

=====

PrAlSi2, single point on PBEsol structure, DFT meta-GGA SCAN; raw total energy = -146.21 eV/cell; size of the total moment = 0.00 μB/f.u.
1.0
4.1476 0.0000 0.0000
-2.0738 3.5919 0.0000
0.0000 0.0000 11.0319
Pr Al Si
2 2 4
Direct
0.0000 0.0000 0.1822
0.0000 0.0000 0.8178
0.3333 0.6667 0.5848
0.6667 0.3333 0.4152
0.3333 0.6667 0.3537
0.3333 0.6667 0.9952
0.6667 0.3333 0.0048
0.6667 0.3333 0.6463

=====

KCNO, single point on PBEsol structure, DFT meta-GGA SCAN; raw total energy = -76.64 eV/cell; size of the total moment = 0.00 μB/f.u.
1.0
-3.4925 2.9930 3.0269
3.4925 -2.9930 3.0269
3.4925 2.9930 -3.0269
K C N O
2 2 2 2
Direct
0.0000 0.0000 0.0000
0.0000 0.5000 0.5000
0.5026 0.2571 0.7456
0.5115 0.7571 0.2544
0.5033 0.3980 0.6053
0.7926 0.8980 0.3947
0.2231 0.6134 0.1097
0.5038 0.1134 0.8903

=====

CdReBr, single point on PBEsol structure, DFT meta-GGA SCAN; raw total energy = -118.70 eV/cell; size of the total moment = 0.00 μB/f.u.
1.0
2.9824 0.0000 0.0000
-1.4912 2.5828 0.0000
0.0000 0.0000 7.5682
Cd Re Br
1 1 1
Direct
0.0000 0.0000 0.0000
0.3333 0.6667 0.6912
0.6667 0.3333 0.4415

=====

As2IrIBr, single point on PBEsol structure, DFT meta-GGA SCAN; raw total energy = -157.13 eV/cell; size of the total moment = 2.61 μB/f.u.
1.0
5.2797 0.0000 0.0000
0.0000 5.2797 0.0000
0.0000 0.0000 5.1615
As Ir I Br
2 1 1 1
Direct
0.0000 0.5000 0.0000
0.5000 0.0000 0.0000
0.0000 0.0000 0.5000
0.5000 0.5000 0.0000
0.5000 0.5000 0.5000

=====

NiIr3Pd, single point on PBEsol structure, DFT meta-GGA SCAN; raw total energy = -249.27 eV/cell; energy relative to the elements = 2.60 eV/atom; size of the total moment = 5.26 μB/f.u.
1.0
4.6381 0.0000 0.0000
0.0000 4.6381 0.0000
0.0000 0.0000 4.6381
Ni Ir Pd
1 3 1
Direct
0.0000 0.0000 0.0000
0.0000 0.5000 0.5000
0.5000 0.0000 0.5000
0.5000 0.5000 0.0000
0.5000 0.5000 0.5000

=====

Na4FeO3, single point on PBEsol structure, DFT meta-GGA SCAN; raw total energy = -131.50 eV/cell; size of the total moment = 4.04 μB/f.u.
1.0
5.4252 -2.8769 0.0000
5.4252 2.8769 0.0000
-3.4041 0.0000 7.5294
Na Fe O
8 2 6
Direct
0.0559 0.3889 0.4159
0.1589 0.8411 0.5000
0.2152 0.6243 0.8169
0.3889 0.0559 0.9159
0.6243 0.2152 0.3169
0.6581 0.9772 0.5956
0.8411 0.1589 0.0000
0.9772 0.6581 0.0956
0.4437 0.7419 0.2117
0.7419 0.4437 0.7117
0.1045 0.9912 0.2589
0.4292 0.4298 0.5773
0.4298 0.4292 0.0773
0.7491 0.7717 0.3078
0.7717 0.7491 0.8078
0.9912 0.1045 0.7589

=====

MgZnPt2, single point on PBEsol structure, DFT meta-GGA SCAN; raw total energy = -162.20 eV/cell; energy relative to the elements = -0.83 eV/atom; size of the total moment = 0.00 μB/f.u.
1.0
2.8809 0.0000 0.0000
0.0000 3.5308 0.0000
0.0000 0.0000 5.7483
Mg Zn Pt
1 1 2
Direct
0.0000 0.0000 0.0000
0.0000 0.0000 0.5000
0.5000 0.5000 0.2574
0.5000 0.5000 0.7426